The following is a DFT calculation (PBEsol) of Nd3Si2ClO8 after structural relaxation.

Calculated values
**Calculated volume**: 387 Å³/cell
**SG**: C2/c, No. 15
**Total energy**: -8.259 eV/atom

Structure (POSCAR):
```
Nd3Si2ClO8
1.0
6.9806 -3.1939 0.0000
6.9806 3.1939 0.0000
-1.2525 0.0000 8.6684
Nd Si Cl O
6 4 2 16
direct
0.0761 0.9239 0.7500 Nd
0.2063 0.4211 0.3271 Nd
0.4211 0.2063 0.8271 Nd
0.5789 0.7937 0.1729 Nd
0.7937 0.5789 0.6729 Nd
0.9239 0.0761 0.2500 Nd
0.1042 0.2120 0.0259 Si
0.2120 0.1042 0.5259 Si
0.7880 0.8958 0.4741 Si
0.8958 0.7880 0.9741 Si
0.4772 0.5228 0.2500 Cl
0.5228 0.4772 0.7500 Cl
0.0424 0.2651 0.8438 O
0.0530 0.7956 0.4656 O
0.0944 0.6148 0.8521 O
0.2042 0.3233 0.5810 O
0.2044 0.9470 0.0344 O
0.2651 0.0424 0.3438 O
0.3233 0.2042 0.0810 O
0.3852 0.9056 0.6479 O
0.6148 0.0944 0.3521 O
0.6767 0.7958 0.9190 O
0.7349 0.9576 0.6562 O
0.7956 0.0530 0.9656 O
0.7958 0.6767 0.4190 O
0.9056 0.3852 0.1479 O
0.9470 0.2044 0.5344 O
0.9576 0.7349 0.1562 O
```